Record 1
Computed, not measured: a relaxed CoPt2Br crystal at the PBE level of DFT.

formation energy from raw total energies = 1.3 eV/f.u.
calculated density = 11.142 g/cm³
calculated total energy = -4.90 eV/atom
crystal system = monoclinic

abc: 4.5373 4.5373 6.4438
angles: 80.81 80.81 37.08
With the nearest neighbours (Å) after each atom.
Positions (direct):
1 Pt 0.9556 0.9556 0.0232  3 Co 2.55-2.59, 3 Pt 2.62-2.72
2 Pt 0.7080 0.7080 0.8347  1 Br 2.59, 2 Co 2.62, 5 Pt 2.62-2.89
3 Br 0.6187 0.6187 0.4709  2 Co 2.45, 1 Pt 2.59
4 Co 0.2176 0.2176 0.1711  2 Br 2.45, 5 Pt 2.55-2.62

Record 2
Computed, not measured: a relaxed Zn5In crystal at the PBE level of DFT.

energy of formation = 46 kJ/mol of formula units
calculated density = 7.150 g/cm³
calculated total energy = -1.44 eV/atom
crystal system = orthorhombic

abc: 4.1198 4.0973 6.4154
angles: 108.62 90.00 90.00
With the nearest neighbours (Å) after each atom.
Positions (direct):
1 Zn 0.5000 0.5000 0.0000  4 In 2.91, 8 Zn 2.96
2 Zn 0.5000 0.8244 0.6488  10 Zn 2.73-2.96, 2 In 2.97
3 Zn 0.0000 0.3248 0.6496  10 Zn 2.74-2.96, 2 In 2.96
4 Zn 0.5000 0.1756 0.3512  10 Zn 2.73-2.96, 2 In 2.97
5 Zn 0.0000 0.6752 0.3504  10 Zn 2.74-2.96, 2 In 2.96
6 In 0.0000 0.0000 0.0000  12 Zn 2.91-2.97

Record 3
Computed, not measured: a relaxed TeRhCl2 crystal at the PBE level of DFT.

formation energy from raw total energies = 1.0 eV/f.u.
calculated density = 6.510 g/cm³
calculated total energy = -3.29 eV/atom
crystal system = cubic

abc: 4.7728 4.7728 4.7728
angles: 119.99 119.99 90.02
With the nearest neighbours (Å) after each atom.
Positions (direct):
1 Cl 0.0000 0.0000 0.0000  4 Te 2.92, 4 Cl 2.92
2 Cl 0.2500 0.7500 0.5000  4 Cl 2.92, 4 Rh 2.92
3 Rh 0.5000 0.5000 0.0000  4 Cl 2.92, 4 Te 2.92
4 Te 0.7500 0.2500 0.5000  4 Cl 2.92, 4 Rh 2.92

Record 4
Computed, not measured: a relaxed CoOs4Se crystal at the PBE level of DFT.

formation energy from raw total energies = 7.1 eV/f.u.
calculated density = 15.344 g/cm³
calculated total energy = -8.08 eV/atom
crystal system = cubic

abc: 5.1621 5.1621 5.1621
angles: 60.00 60.00 60.00
With the nearest neighbours (Å) after each atom.
Positions (direct):
1 Os 0.3747 0.3747 0.8759  6 Os 2.57-2.59
2 Os 0.8759 0.3747 0.3747  6 Os 2.57-2.59
3 Os 0.3747 0.3747 0.3747  6 Os 2.57-2.59
4 Os 0.3747 0.8759 0.3747  6 Os 2.57-2.59
5 Se 0.7500 0.7500 0.7500  12 Os 3.03, 4 Co 3.16
6 Co 0.0000 0.0000 0.0000  12 Os 3.03, 4 Se 3.16

Record 5
Computed, not measured: a relaxed Pr4Sm3Er4 crystal at the PBE level of DFT.

energy of formation = 21 kJ/mol of formula units
calculated density = 7.615 g/cm³
calculated total energy = -4.66 eV/atom
crystal system = orthorhombic

abc: 3.6243 5.0968 20.1211
angles: 97.26 95.18 90.03
With the nearest neighbours (Å) after each atom.
Positions (direct):
1 Er 0.7280 0.7280 0.4563  5 Pr 3.54-3.61, 6 Er 3.57-3.62, 1 Sm 3.64
2 Er 0.0920 0.0916 0.1838  5 Sm 3.60-3.65, 5 Pr 3.61-3.62, 2 Er 3.62
3 Er 0.9080 0.9084 0.8162  5 Sm 3.60-3.65, 5 Pr 3.61-3.62, 2 Er 3.62
4 Er 0.2720 0.2721 0.5437  5 Pr 3.54-3.61, 6 Er 3.57-3.62, 1 Sm 3.64
5 Sm 0.3633 0.3638 0.7268  5 Pr 3.59-3.63, 5 Er 3.60-3.64, 2 Sm 3.62
6 Sm 0.0000 0.0000 0.0000  2 Sm 3.62, 8 Pr 3.63, 2 Er 3.65
7 Sm 0.6366 0.6363 0.2732  5 Pr 3.59-3.63, 5 Er 3.60-3.64, 2 Sm 3.62
8 Pr 0.4535 0.4540 0.9076  5 Sm 3.59-3.63, 4 Er 3.61-3.62, 3 Pr 3.62-3.67
9 Pr 0.8172 0.8176 0.6343  6 Er 3.54-3.62, 2 Pr 3.62, 4 Sm 3.63
10 Pr 0.1827 0.1825 0.3657  6 Er 3.54-3.62, 2 Pr 3.62, 4 Sm 3.63
11 Pr 0.5465 0.5460 0.0924  5 Sm 3.59-3.63, 4 Er 3.61-3.62, 3 Pr 3.62-3.67